1 | Computed, not measured: YAl3Sb after structural relaxation at the PBE level of DFT.

```
5
Lattice="5.232 0.000 0.000 0.000 5.232 0.000 0.000 0.000 5.232" Properties=species:S:1:pos:R:3 pbc="T T T"
Y 0.000 0.000 0.000
Al 0.000 2.616 2.616
Al 2.616 0.000 2.616
Al 2.616 2.616 0.000
Sb 2.616 2.616 2.616
```

Results
magnetization	0.00	μB/atom
symmetry	Pm-3m (221)

2 | Computed, not measured: YAl3Sb after structural relaxation at the PBE level of DFT.

```
5
Lattice="5.506 0.000 0.000 0.000 5.506 0.000 0.000 0.000 5.506" Properties=species:S:1:pos:R:3 pbc="T T T"
Y 0.000 0.000 0.000
Al 0.000 0.000 2.753
Al 0.000 2.753 0.000
Al 2.753 0.000 0.000
Sb 2.753 2.753 2.753
```

Results
magnetization	0.18	μB/atom
symmetry	Pm-3m (221)

Least stable: 2

1 | Computed, not measured: Al2ZnSb after structural relaxation at the PBE level of DFT.

```
4
Lattice="4.253 -1.853 0.000 4.253 1.853 0.000 -1.591 0.000 5.190" Properties=species:S:1:pos:R:3 pbc="T T T"
Al 0.000 0.000 0.000
Al 6.010 0.000 1.142
Zn 3.529 0.000 2.026
Sb 1.082 0.000 3.605
```

Results
magnetization	0.00	μB/atom
symmetry	Cm (8)

2 | Computed, not measured: Al2ZnSb after structural relaxation at the PBE level of DFT.

```
4
Lattice="3.143 0.000 0.000 0.000 3.918 0.000 0.000 0.000 6.413" Properties=species:S:1:pos:R:3 pbc="T T T"
Al 0.000 0.000 1.386
Al 0.000 0.000 5.026
Zn 1.572 1.959 0.000
Sb 1.572 1.959 3.206
```

Results
magnetization	0.00	μB/atom
symmetry	Pmmm (47)

3 | Computed, not measured: Al2ZnSb after structural relaxation at the PBE level of DFT.

```
4
Lattice="0.000 3.438 3.438 3.438 0.000 3.438 3.438 3.438 0.000" Properties=species:S:1:pos:R:3 pbc="T T T"
Al 0.000 0.000 0.000
Al 1.719 1.719 1.719
Zn 5.157 5.157 5.157
Sb 3.438 3.438 3.438
```

Results
magnetization	0.00	μB/atom
symmetry	F-43m (216)

4 | Computed, not measured: Al2ZnSb after structural relaxation at the PBE level of DFT.

```
4
Lattice="2.777 -5.231 0.000 2.777 5.231 0.000 -2.221 0.000 2.817" Properties=species:S:1:pos:R:3 pbc="T T T"
Al 1.389 2.615 0.000
Al 1.389 -2.615 0.000
Zn -1.110 0.000 1.408
Sb 1.667 0.000 1.408
```

Results
magnetization	0.00	μB/atom
symmetry	C2/m (12)

Least stable: 3

1 | Computed, not measured: Al2ZnSb after structural relaxation at the PBE level of DFT.

```
4
Lattice="3.049 0.000 0.000 0.000 7.791 0.000 -0.174 0.000 3.315" Properties=species:S:1:pos:R:3 pbc="T T T"
Al 0.000 1.679 0.000
Al 0.000 6.112 0.000
Zn 1.437 0.000 1.657
Sb 1.437 3.896 1.657
```

Results
magnetization	0.00	μB/atom
symmetry	P2/m (10)

2 | Computed, not measured: Al2ZnSb after structural relaxation at the PBE level of DFT.

```
4
Lattice="0.000 3.434 3.434 3.434 0.000 3.434 3.434 3.434 0.000" Properties=species:S:1:pos:R:3 pbc="T T T"
Al 1.717 1.717 1.717
Al 5.151 5.151 5.151
Zn 0.000 0.000 0.000
Sb 3.434 3.434 3.434
```

Results
magnetization	0.00	μB/atom
symmetry	Fm-3m (225)

Least stable: 2

1 | Computed, not measured: Al2ZnSb after structural relaxation at the PBE level of DFT.

```
4
Lattice="1.594 0.920 9.033 -1.594 0.920 9.033 0.000 -1.840 9.033" Properties=species:S:1:pos:R:3 pbc="T T T"
Al 0.000 0.000 6.518
Al 0.000 0.000 20.582
Zn 0.000 0.000 13.550
Sb 0.000 0.000 0.000
```

Results
magnetization	0.00	μB/atom
symmetry	R-3m (166)

2 | Computed, not measured: Al2ZnSb after structural relaxation at the PBE level of DFT.

```
4
Lattice="-2.131 2.131 4.370 2.131 -2.131 4.370 2.131 2.131 -4.370" Properties=species:S:1:pos:R:3 pbc="T T T"
Al 2.131 0.000 2.185
Al 0.000 2.131 2.185
Zn 0.000 0.000 0.000
Sb 0.000 0.000 4.370
```

Results
magnetization	0.00	μB/atom
symmetry	I4/mmm (139)

3 | Computed, not measured: Al2ZnSb after structural relaxation at the PBE level of DFT.

```
8
Lattice="-3.250 3.250 5.169 3.250 -3.250 5.169 3.250 3.250 -5.169" Properties=species:S:1:pos:R:3 pbc="T T T"
Al 4.876 1.519 -1.292
Al 1.519 1.625 1.292
Al -1.625 1.731 3.876
Al 1.731 1.625 6.461
Zn 0.000 0.000 0.000
Zn 0.000 3.250 2.584
Sb 3.250 0.000 2.584
Sb 0.000 0.000 5.169
```

Results
magnetization	0.00	μB/atom
symmetry	I-42d (122)

4 | Computed, not measured: Al2ZnSb after structural relaxation at the PBE level of DFT.

```
4
Lattice="3.090 0.000 0.000 0.000 3.898 0.000 -1.498 0.000 6.679" Properties=species:S:1:pos:R:3 pbc="T T T"
Al 0.000 0.000 0.000
Al 0.047 1.949 5.332
Zn 1.590 0.000 3.929
Sb 0.021 1.949 2.233
```

Results
magnetization	0.00	μB/atom
symmetry	Pm (6)

Least stable: 3

1 | Computed, not measured: Al2ZnSb after structural relaxation at the PBE level of DFT.

```
4
Lattice="4.089 0.000 0.000 0.000 4.089 0.000 0.000 0.000 4.757" Properties=species:S:1:pos:R:3 pbc="T T T"
Al 0.000 2.045 0.000
Al 2.045 0.000 0.000
Zn 0.000 0.000 2.379
Sb 2.045 2.045 2.379
```

Results
magnetization	0.00	μB/atom
symmetry	P4/mmm (123)

2 | Computed, not measured: Al2ZnSb after structural relaxation at the PBE level of DFT.

```
4
Lattice="3.162 0.000 0.000 0.000 3.945 0.000 0.000 0.000 6.316" Properties=species:S:1:pos:R:3 pbc="T T T"
Al 0.000 0.000 0.000
Al 1.581 1.972 1.407
Zn 1.581 1.972 4.999
Sb 0.000 0.000 3.197
```

Results
magnetization	0.00	μB/atom
symmetry	Pmm2 (25)

Least stable: 1

1 | Computed, not measured: Al2ZnSb after structural relaxation at the PBE level of DFT.

```
4
Lattice="2.174 -2.250 0.000 2.174 2.250 0.000 0.000 0.000 8.048" Properties=species:S:1:pos:R:3 pbc="T T T"
Al 0.000 0.000 0.000
Al 2.174 0.000 1.756
Zn 2.174 0.000 6.372
Sb 0.000 0.000 4.059
```

Results
magnetization	0.00	μB/atom
symmetry	Cmm2 (35)

2 | Computed, not measured: Al2ZnSb after structural relaxation at the PBE level of DFT.

```
4
Lattice="3.025 -3.748 0.000 3.025 3.748 0.000 0.000 0.000 3.537" Properties=species:S:1:pos:R:3 pbc="T T T"
Al 1.512 1.874 0.000
Al 1.512 -1.874 0.000
Zn 0.000 0.000 1.769
Sb 3.025 0.000 1.769
```

Results
magnetization	0.00	μB/atom
symmetry	Cmmm (65)

3 | Computed, not measured: Al2ZnSb after structural relaxation at the PBE level of DFT.

```
4
Lattice="1.595 0.921 9.085 -1.595 0.921 9.085 0.000 -1.842 9.085" Properties=species:S:1:pos:R:3 pbc="T T T"
Al 0.000 0.000 0.000
Al 0.000 0.000 6.921
Zn 0.000 0.000 13.984
Sb 0.000 0.000 20.600
```

Results
magnetization	0.00	μB/atom
symmetry	R3m (160)

Least stable: 2

1 | Computed, not measured: Zr2AlSb after structural relaxation at the PBE level of DFT.

```
4
Lattice="0.000 3.495 3.495 3.495 0.000 3.495 3.495 3.495 0.000" Properties=species:S:1:pos:R:3 pbc="T T T"
Zr 0.000 0.000 0.000
Zr 1.748 1.748 1.748
Al 3.495 3.495 3.495
Sb 5.243 5.243 5.243
```

Results
magnetization	0.00	μB/atom
symmetry	F-43m (216)

2 | Computed, not measured: Zr2AlSb after structural relaxation at the PBE level of DFT.

```
4
Lattice="3.241 0.000 0.000 0.000 4.184 0.000 -1.038 0.000 6.257" Properties=species:S:1:pos:R:3 pbc="T T T"
Zr -0.204 0.000 1.513
Zr 2.407 0.000 4.744
Al 1.621 2.092 0.000
Sb 1.102 2.092 3.129
```

Results
magnetization	0.00	μB/atom
symmetry	P2/m (10)

3 | Computed, not measured: Zr2AlSb after structural relaxation at the PBE level of DFT.

```
4
Lattice="-2.093 2.093 4.802 2.093 -2.093 4.802 2.093 2.093 -4.802" Properties=species:S:1:pos:R:3 pbc="T T T"
Zr 0.000 0.000 0.000
Zr 0.000 2.093 2.401
Al 0.000 0.000 4.802
Sb 2.093 0.000 2.401
```

Results
magnetization	0.00	μB/atom
symmetry	I-4m2 (119)

Least stable: 1

1 | Computed, not measured: Zr2AlSb after structural relaxation at the PBE level of DFT.

```
4
Lattice="5.491 -1.562 0.000 5.491 1.562 0.000 -1.184 0.000 4.992" Properties=species:S:1:pos:R:3 pbc="T T T"
Zr 0.000 0.000 0.000
Zr 1.619 0.000 3.064
Al 4.632 0.000 2.504
Sb 8.070 0.000 0.666
```

Results
magnetization	0.00	μB/atom
symmetry	Cm (8)

2 | Computed, not measured: Zr2AlSb after structural relaxation at the PBE level of DFT.

```
4
Lattice="2.079 -2.474 0.000 2.079 2.474 0.000 0.000 0.000 8.289" Properties=species:S:1:pos:R:3 pbc="T T T"
Zr 0.000 0.000 1.970
Zr 0.000 0.000 6.320
Al 2.079 0.000 0.000
Sb 2.079 0.000 4.145
```

Results
magnetization	0.00	μB/atom
symmetry	Cmmm (65)

Least stable: 1

1 | Computed, not measured: Zr2AlSb2 after structural relaxation at the PBE level of DFT.

```
10
Lattice="7.847 0.000 0.000 0.000 7.847 0.000 0.000 0.000 3.780" Properties=species:S:1:pos:R:3 pbc="T T T"
Zr 1.144 2.779 0.000
Zr 2.779 6.703 0.000
Zr 5.067 1.144 0.000
Zr 6.703 5.067 0.000
Al 0.000 0.000 1.890
Al 3.923 3.923 1.890
Sb 1.170 5.094 1.890
Sb 2.753 1.170 1.890
Sb 5.094 6.677 1.890
Sb 6.677 2.753 1.890
```

Results
magnetization	0.00	μB/atom
symmetry	P4/mbm (127)

2 | Computed, not measured: Zr2AlSb2 after structural relaxation at the PBE level of DFT.

```
10
Lattice="7.687 0.000 0.000 0.000 7.687 0.000 0.000 0.000 3.926" Properties=species:S:1:pos:R:3 pbc="T T T"
Zr 1.166 2.677 0.000
Zr 2.677 6.521 0.000
Zr 5.010 1.166 0.000
Zr 6.521 5.010 0.000
Al 0.000 0.000 0.000
Al 3.844 3.844 0.000
Sb 1.153 4.997 1.963
Sb 2.690 1.153 1.963
Sb 4.997 6.534 1.963
Sb 6.534 2.690 1.963
```

Results
magnetization	0.00	μB/atom
symmetry	P4/mbm (127)

Least stable: 1

1 | Computed, not measured: Zr2Al2Sb after structural relaxation at the PBE level of DFT.

```
10
Lattice="7.199 0.000 0.000 0.000 7.199 0.000 0.000 0.000 3.958" Properties=species:S:1:pos:R:3 pbc="T T T"
Zr 1.285 2.315 0.000
Zr 2.315 5.914 0.000
Zr 4.884 1.285 0.000
Zr 5.914 4.884 0.000
Al 0.876 4.476 1.979
Al 2.723 0.876 1.979
Al 4.476 6.323 1.979
Al 6.323 2.723 1.979
Sb 0.000 0.000 1.979
Sb 3.600 3.600 1.979
```

Results
magnetization	0.00	μB/atom
symmetry	P4/mbm (127)

2 | Computed, not measured: Zr2Al2Sb after structural relaxation at the PBE level of DFT.

```
5
Lattice="-2.199 2.199 6.012 2.199 -2.199 6.012 2.199 2.199 -6.012" Properties=species:S:1:pos:R:3 pbc="T T T"
Zr 2.199 0.000 3.006
Zr 0.000 2.199 3.006
Al 0.000 0.000 1.227
Al 0.000 0.000 10.796
Sb 0.000 0.000 6.012
```

Results
magnetization	0.00	μB/atom
symmetry	I4/mmm (139)

Least stable: 2

1 | Computed, not measured: ScAl4 after structural relaxation at the PBE level of DFT.

```
5
Lattice="5.275 0.000 0.000 0.000 5.275 0.000 0.000 0.000 5.275" Properties=species:S:1:pos:R:3 pbc="T T T"
Sc 0.000 0.000 0.000
Al 0.000 0.000 2.637
Al 0.000 2.637 0.000
Al 2.637 0.000 0.000
Al 2.637 2.637 2.637
```

Results
magnetization	0.00	μB/atom
symmetry	Pm-3m (221)

2 | Computed, not measured: ScAl4 after structural relaxation at the PBE level of DFT.

```
5
Lattice="-3.153 3.153 3.153 3.153 -3.153 3.153 3.153 3.153 -3.153" Properties=species:S:1:pos:R:3 pbc="T T T"
Sc 0.000 0.000 0.000
Al 1.577 1.577 -1.577
Al 1.577 -1.577 1.577
Al -1.577 1.577 1.577
Al 1.577 1.577 1.577
```

Results
magnetization	0.00	μB/atom
symmetry	Im-3m (229)

Least stable: 1